DFT (PBEsol) results for a relaxed structure of BaSr2Fe.

Properties
D(E_F): 1.809 states/eV/atom
Uncorrected energy: -12.8 eV for the cell shown
Calculated formation energy: 0.50 eV per atom
Magnetic moment: 0.59 μB per atom
Calculated volume: 153.0 Å³/cell

a = 3.8638 Å, b = 3.8638 Å, c = 10.2460 Å
α = 90.00°, β = 90.00°, γ = 90.00°
Last column: nearest neighbours and their distance in Å.
Sites, in units of the cell vectors:
Ba 0.0000 0.0000 0.0000  4 Ba 3.86, 8 Sr 4.32
Sr 0.5000 0.5000 0.3271  4 Fe 3.26, 1 Sr 3.54
Sr 0.5000 0.5000 0.6729  4 Fe 3.26, 1 Sr 3.54
Fe 0.0000 0.0000 0.5000  8 Sr 3.26



DFT (PBEsol) results for a relaxed structure of KYSi4.

Properties
D(E_F): 0.196 states/eV/atom
Uncorrected energy: -31.6 eV for the cell shown
Formation energy without anion corrections: -0.109 eV/atom
Magnetic moment: 0.00 μB per atom
Calculated volume: 109.0 Å³/cell

a = 5.3614 Å, b = 5.3614 Å, c = 5.3614 Å
α = 60.00°, β = 60.00°, γ = 60.00°
Last column: nearest neighbours and their distance in Å.
Sites, in units of the cell vectors:
K 0.0000 0.0000 0.0000  12 Si 3.15, 4 Y 3.28
Y 0.7500 0.7500 0.7500  12 Si 3.14, 4 K 3.28
Si 0.3761 0.3761 0.3761  6 Si 2.66-2.71
Si 0.3761 0.3761 0.8716  6 Si 2.66-2.71
Si 0.3761 0.8716 0.3761  6 Si 2.66-2.71
Si 0.8716 0.3761 0.3761  6 Si 2.66-2.71



DFT (PBEsol) results for a relaxed structure of KFeTe2I.

Properties
D(E_F): 0.789 states/eV/atom
Uncorrected energy: -20.1 eV for the cell shown
Formation energy without anion corrections: -0.228 eV/atom
Magnetic moment: 0.72 μB per atom
Calculated volume: 157.5 Å³/cell

a = 5.0386 Å, b = 5.0386 Å, c = 6.2022 Å
α = 90.00°, β = 90.00°, γ = 90.00°
Last column: nearest neighbours and their distance in Å.
Sites, in units of the cell vectors:
K 0.0000 0.0000 0.0000  4 I 3.56
Fe 0.5000 0.5000 0.5000  4 Te 2.52
Te 0.0000 0.5000 0.5000  2 Fe 2.52
Te 0.5000 0.0000 0.5000  2 Fe 2.52
I 0.5000 0.5000 0.0000  2 Fe 3.10



DFT (PBEsol) results for a relaxed structure of BaCaBi.

Properties
D(E_F): 0.277 states/eV/atom
Uncorrected energy: -44.7 eV for the cell shown
Calculated formation energy: -0.87 eV per atom
Magnetic moment: 0.00 μB per atom
Calculated volume: 458.3 Å³/cell

a = 5.0260 Å, b = 5.0260 Å, c = 18.1438 Å
α = 90.00°, β = 90.00°, γ = 90.00°
Last column: nearest neighbours and their distance in Å.
Sites, in units of the cell vectors:
Ba 0.0000 0.0000 0.1736  5 Bi 3.64-3.66, 4 Ca 4.03
Ba 0.0000 0.0000 0.8264  5 Bi 3.64-3.66, 4 Ca 4.03
Ba 0.5000 0.5000 0.3264  5 Bi 3.64-3.66, 4 Ca 4.03
Ba 0.5000 0.5000 0.6736  5 Bi 3.64-3.66, 4 Ca 4.03
Ca 0.0000 0.5000 0.0000  4 Bi 3.40, 4 Ca 3.55
Ca 0.0000 0.5000 0.5000  4 Bi 3.40, 4 Ca 3.55
Ca 0.5000 0.0000 0.0000  4 Bi 3.40, 4 Ca 3.55
Ca 0.5000 0.0000 0.5000  4 Bi 3.40, 4 Ca 3.55
Bi 0.0000 0.0000 0.3741  4 Ca 3.40, 5 Ba 3.64-3.66
Bi 0.0000 0.0000 0.6259  4 Ca 3.40, 5 Ba 3.64-3.66
Bi 0.5000 0.5000 0.1259  4 Ca 3.40, 5 Ba 3.64-3.66
Bi 0.5000 0.5000 0.8741  4 Ca 3.40, 5 Ba 3.64-3.66



DFT (PBEsol) results for a relaxed structure of CoPCl3.

Properties
D(E_F): 0.686 states/eV/atom
Uncorrected energy: -37.0 eV for the cell shown
Formation energy without anion corrections: 0.215 eV/atom
Magnetic moment: 0.02 μB per atom
Calculated volume: 189.4 Å³/cell

a = 6.3297 Å, b = 6.3297 Å, c = 5.4579 Å
α = 90.00°, β = 90.00°, γ = 120.00°
Last column: nearest neighbours and their distance in Å.
Sites, in units of the cell vectors:
Co 0.0000 0.0000 0.0000  6 Cl 2.28
Co 0.0000 0.0000 0.5000  6 Cl 2.28
P 0.3333 0.6667 0.2500  12 Cl 3.16-3.28
P 0.6667 0.3333 0.7500  12 Cl 3.16-3.28
Cl 0.1666 0.3332 0.7500  2 Co 2.28
Cl 0.1666 0.8334 0.7500  2 Co 2.28
Cl 0.3332 0.1666 0.2500  2 Co 2.28
Cl 0.6668 0.8334 0.7500  2 Co 2.28
Cl 0.8334 0.1666 0.2500  2 Co 2.28
Cl 0.8334 0.6668 0.2500  2 Co 2.28



DFT (PBEsol) results for a relaxed structure of WC6O6.

Properties
D(E_F): 0.000 states/eV/atom
Uncorrected energy: -444.0 eV for the cell shown
Formation energy without anion corrections: -0.603 eV/atom
Magnetic moment: 0.00 μB per atom
Calculated volume: 915.0 Å³/cell

a = 12.1877 Å, b = 11.4915 Å, c = 6.5331 Å
α = 90.00°, β = 90.00°, γ = 90.00°
Last column: nearest neighbours and their distance in Å.
Sites, in units of the cell vectors:
W 0.1273 0.2500 0.0556  6 C 2.04
W 0.3727 0.7500 0.5556  6 C 2.04
W 0.6273 0.2500 0.4444  6 C 2.04
W 0.8727 0.7500 0.9444  6 C 2.04
C 0.0274 0.1245 0.1734  1 O 1.16
C 0.0274 0.3755 0.1734  1 O 1.16
C 0.0376 0.2500 0.7923  1 O 1.16
C 0.2180 0.2500 0.3171  1 O 1.16
C 0.2261 0.1234 0.9368  1 O 1.16
C 0.2261 0.3766 0.9368  1 O 1.16
C 0.2739 0.6234 0.4368  1 O 1.16
C 0.2739 0.8766 0.4368  1 O 1.16
C 0.2820 0.7500 0.8171  1 O 1.16
C 0.4624 0.7500 0.2923  1 O 1.16
C 0.4726 0.6245 0.6734  1 O 1.16
C 0.4726 0.8755 0.6734  1 O 1.16
C 0.5274 0.1245 0.3266  1 O 1.16
C 0.5274 0.3755 0.3266  1 O 1.16
C 0.5376 0.2500 0.7077  1 O 1.16
C 0.7180 0.2500 0.1829  1 O 1.16
C 0.7261 0.1234 0.5632  1 O 1.16
C 0.7261 0.3766 0.5632  1 O 1.16
C 0.7739 0.6234 0.0632  1 O 1.16
C 0.7739 0.8766 0.0632  1 O 1.16
C 0.7820 0.7500 0.6829  1 O 1.16
C 0.9624 0.7500 0.2077  1 O 1.16
C 0.9726 0.6245 0.8266  1 O 1.16
C 0.9726 0.8755 0.8266  1 O 1.16
O 0.0126 0.7500 0.3584  1 C 1.16
O 0.0298 0.5532 0.7609  1 C 1.16
O 0.0298 0.9468 0.7609  1 C 1.16
O 0.2187 0.5511 0.3692  1 C 1.16
O 0.2187 0.9489 0.3692  1 C 1.16
O 0.2301 0.7500 0.9660  1 C 1.16
O 0.2699 0.2500 0.4660  1 C 1.16
O 0.2813 0.0511 0.8692  1 C 1.16
O 0.2813 0.4489 0.8692  1 C 1.16
O 0.4702 0.0532 0.2609  1 C 1.16
O 0.4702 0.4468 0.2609  1 C 1.16
O 0.4874 0.2500 0.8584  1 C 1.16
O 0.5126 0.7500 0.1416  1 C 1.16
O 0.5298 0.5532 0.7391  1 C 1.16
O 0.5298 0.9468 0.7391  1 C 1.16
O 0.7187 0.5511 0.1308  1 C 1.16
O 0.7187 0.9489 0.1308  1 C 1.16
O 0.7301 0.7500 0.5340  1 C 1.16
O 0.7699 0.2500 0.0340  1 C 1.16
O 0.7813 0.0511 0.6308  1 C 1.16
O 0.7813 0.4489 0.6308  1 C 1.16
O 0.9702 0.0532 0.2391  1 C 1.16
O 0.9702 0.4468 0.2391  1 C 1.16
O 0.9874 0.2500 0.6416  1 C 1.16



DFT (PBEsol) results for a relaxed structure of LiReSe.

Properties
D(E_F): 0.704 states/eV/atom
Uncorrected energy: -18.8 eV for the cell shown
Formation energy without anion corrections: 0.126 eV/atom
Magnetic moment: 0.00 μB per atom
Calculated volume: 49.4 Å³/cell

a = 3.0217 Å, b = 3.0217 Å, c = 6.2501 Å
α = 90.00°, β = 90.00°, γ = 120.00°
Last column: nearest neighbours and their distance in Å.
Sites, in units of the cell vectors:
Li 0.0000 0.0000 0.0000  3 Re 2.82, 3 Se 2.91, 6 Li 3.02
Re 0.3333 0.6667 0.6459  3 Se 2.44
Se 0.6667 0.3333 0.3728  3 Re 2.44



DFT (PBEsol) results for a relaxed structure of KLaIr2.

Properties
D(E_F): 0.608 states/eV/atom
Uncorrected energy: -48.8 eV for the cell shown
Calculated formation energy: 0.43 eV per atom
Magnetic moment: 0.00 μB per atom
Calculated volume: 162.0 Å³/cell

a = 4.3610 Å, b = 4.3610 Å, c = 8.5160 Å
α = 90.00°, β = 90.00°, γ = 90.00°
Last column: nearest neighbours and their distance in Å.
Sites, in units of the cell vectors:
K 0.0000 0.0000 0.0000  8 Ir 3.05, 4 La 3.08
K 0.5000 0.5000 0.5000  8 Ir 3.05, 4 La 3.08
La 0.0000 0.0000 0.5000  8 Ir 3.05, 4 K 3.08
La 0.5000 0.5000 0.0000  8 Ir 3.05, 4 K 3.08
Ir 0.0000 0.5000 0.2500  4 La 3.05, 4 K 3.05, 4 Ir 3.08
Ir 0.0000 0.5000 0.7500  4 La 3.05, 4 K 3.05, 4 Ir 3.08
Ir 0.5000 0.0000 0.2500  4 La 3.05, 4 K 3.05, 4 Ir 3.08
Ir 0.5000 0.0000 0.7500  4 La 3.05, 4 K 3.05, 4 Ir 3.08



DFT (PBEsol) results for a relaxed structure of KSr2Be.

Properties
D(E_F): 1.114 states/eV/atom
Uncorrected energy: -7.0 eV for the cell shown
Calculated formation energy: 0.46 eV per atom
Magnetic moment: 0.00 μB per atom
Calculated volume: 165.2 Å³/cell

a = 3.9779 Å, b = 3.9779 Å, c = 10.4407 Å
α = 90.00°, β = 90.00°, γ = 90.00°
Last column: nearest neighbours and their distance in Å.
Sites, in units of the cell vectors:
K 0.0000 0.0000 0.0000  4 Be 3.61, 1 Sr 3.70, 4 K 3.98
Sr 0.0000 0.0000 0.6456  4 Be 3.16
Sr 0.5000 0.5000 0.3504  8 Sr 3.98-4.17
Be 0.5000 0.5000 0.7829  4 Sr 3.16



DFT (PBEsol) results for a relaxed structure of BPtOF2.

Properties
D(E_F): 0.513 states/eV/atom
Uncorrected energy: -26.9 eV for the cell shown
Formation energy without anion corrections: -0.761 eV/atom
Magnetic moment: 0.18 μB per atom
Calculated volume: 50.7 Å³/cell

a = 4.4165 Å, b = 4.4165 Å, c = 2.6013 Å
α = 90.00°, β = 90.00°, γ = 90.00°
Last column: nearest neighbours and their distance in Å.
Sites, in units of the cell vectors:
B 0.0000 0.0000 0.0000  2 O 1.30
Pt 0.5000 0.5000 0.5000  8 F 2.56, 2 Pt 2.60
O 0.0000 0.0000 0.5000  2 B 1.30
F 0.0000 0.5000 0.0000  2 B 2.21
F 0.5000 0.0000 0.0000  2 B 2.21



What did the eighth record say?
DFT (PBEsol) results for a relaxed structure of KLaIr2.

Properties
D(E_F): 0.608 states/eV/atom
Uncorrected energy: -48.8 eV for the cell shown
Calculated formation energy: 0.43 eV per atom
Magnetic moment: 0.00 μB per atom
Calculated volume: 162.0 Å³/cell

a = 4.3610 Å, b = 4.3610 Å, c = 8.5160 Å
α = 90.00°, β = 90.00°, γ = 90.00°
Last column: nearest neighbours and their distance in Å.
Sites, in units of the cell vectors:
K 0.0000 0.0000 0.0000  8 Ir 3.05, 4 La 3.08
K 0.5000 0.5000 0.5000  8 Ir 3.05, 4 La 3.08
La 0.0000 0.0000 0.5000  8 Ir 3.05, 4 K 3.08
La 0.5000 0.5000 0.0000  8 Ir 3.05, 4 K 3.08
Ir 0.0000 0.5000 0.2500  4 La 3.05, 4 K 3.05, 4 Ir 3.08
Ir 0.0000 0.5000 0.7500  4 La 3.05, 4 K 3.05, 4 Ir 3.08
Ir 0.5000 0.0000 0.2500  4 La 3.05, 4 K 3.05, 4 Ir 3.08
Ir 0.5000 0.0000 0.7500  4 La 3.05, 4 K 3.05, 4 Ir 3.08